DFT (GGA-PBE) results for a geometry-optimized NdSbHRh2 structure.

DFT total energy ... -6.091 eV/atom
Total magnetization ... 0.000 μB per cell
D(E_F) ... 4.1 states/eV/cell

Structure (POSCAR):
```
NdSbHRh2
1.0
2.045 -5.629 0.000
2.045 5.629 0.000
0.000 0.000 7.461
Nd Sb H Rh
2 2 2 4
Cartesian
2.045 4.953 5.596
2.045 -4.953 1.865
2.045 3.156 1.865
2.045 -3.156 5.596
2.045 0.000 0.000
2.045 0.000 3.730
2.045 1.718 4.098
2.045 1.718 7.093
2.045 -1.718 0.368
2.045 -1.718 3.362
```